Below is Cs3Cd3In2 after structural relaxation, with properties calculated at the PBE level.

Calculated values
Symmetry: No. 63
Formation energy (meV per atom): -54
Magnetic moment (μB per cell): 0.000

Lattice parameters (Å, degrees): 7.6356 7.6356 19.8322 90.00 90.00 142.79
Closest atoms and distances in Å follow each position.
Fractional positions:
Cs 0.0570 0.9430 0.7500  5 Cd 3.75-4.20, 2 In 4.17, 2 Cs 4.19
Cs 0.1317 0.8683 0.5457  5 Cd 4.04-4.30, 3 In 4.14-4.36, 2 Cs 4.19-4.22
Cs 0.1317 0.8683 0.9543  5 Cd 4.04-4.30, 3 In 4.14-4.36, 2 Cs 4.19-4.22
Cs 0.8683 0.1317 0.0457  5 Cd 4.04-4.30, 3 In 4.14-4.36, 2 Cs 4.19-4.22
Cs 0.8683 0.1317 0.4543  5 Cd 4.04-4.30, 3 In 4.14-4.36, 2 Cs 4.19-4.22
Cs 0.9430 0.0570 0.2500  5 Cd 3.75-4.20, 2 In 4.17, 2 Cs 4.19
Cd 0.3165 0.6835 0.7500  4 In 2.96, 2 Cd 3.06
Cd 0.4138 0.5862 0.6130  1 Cd 3.06, 2 In 3.19
Cd 0.4138 0.5862 0.8870  1 Cd 3.06, 2 In 3.19
Cd 0.5862 0.4138 0.1130  1 Cd 3.06, 2 In 3.19
Cd 0.5862 0.4138 0.3870  1 Cd 3.06, 2 In 3.19
Cd 0.6835 0.3165 0.2500  4 In 2.96, 2 Cd 3.06
In 0.2077 0.7923 0.1668  4 Cd 2.96-3.19, 1 In 3.30
In 0.2077 0.7923 0.3332  4 Cd 2.96-3.19, 1 In 3.30
In 0.7923 0.2077 0.6668  4 Cd 2.96-3.19, 1 In 3.30
In 0.7923 0.2077 0.8332  4 Cd 2.96-3.19, 1 In 3.30

Below is Cs2Cd2In3 after structural relaxation, with properties calculated at the PBE level.

Calculated values
Symmetry: No. 12
Formation energy (meV per atom): 0
Magnetic moment (μB per cell): 0.000

Lattice parameters (Å, degrees): 6.9962 6.9962 8.6977 102.42 102.42 38.01
Closest atoms and distances in Å follow each position.
Fractional positions:
Cs 0.1431 0.1431 0.3450  5 Cd 3.64-3.96, 3 In 3.90-4.00
Cs 0.8569 0.8569 0.6550  5 Cd 3.64-3.96, 3 In 3.90-4.00
Cd 0.4251 0.4251 0.3202  3 In 3.10-3.16, 1 Cd 3.30
Cd 0.5749 0.5749 0.6798  3 In 3.10-3.16, 1 Cd 3.30
In 0.1799 0.1799 0.9010  2 Cd 3.10, 2 In 3.19
In 0.5000 0.5000 0.0000  2 Cd 3.16, 4 In 3.54
In 0.8201 0.8201 0.0990  2 Cd 3.10, 2 In 3.19

Below is CsCdIn3 after structural relaxation, with properties calculated at the PBE level.

Calculated values
Symmetry: No. 194
Formation energy (meV per atom): 46
Magnetic moment (μB per cell): 0.000

Lattice parameters (Å, degrees): 7.6827 7.6827 6.6445 90.00 90.00 120.00
Closest atoms and distances in Å follow each position.
Fractional positions:
Cs 0.3333 0.6667 0.2500  12 In 3.82-3.86
Cs 0.6667 0.3333 0.7500  12 In 3.82-3.86
Cd 0.0000 0.0000 0.0000  6 In 3.04, 2 Cd 3.32
Cd 0.0000 0.0000 0.5000  6 In 3.04, 2 Cd 3.32
In 0.1911 0.3821 0.7500  2 Cd 3.04, 2 In 3.28
In 0.1911 0.8089 0.7500  2 Cd 3.04, 2 In 3.28
In 0.3821 0.1911 0.2500  2 Cd 3.04, 2 In 3.28
In 0.6179 0.8089 0.7500  2 Cd 3.04, 2 In 3.28
In 0.8089 0.1911 0.2500  2 Cd 3.04, 2 In 3.28
In 0.8089 0.6179 0.2500  2 Cd 3.04, 2 In 3.28

What energy above the lowest structure with this stoichiometry values result from the calculations? In sequence: 8, 65, 135 meV/atom.
What raw total energy values result from the calculations? In sequence: -1.40, -1.68, -1.95 eV per atom.